Record 1
# GaH3

A relaxed structure of GaH3 (PBE-GGA, the Alexandria database).

```
GaH3
1.0
2.562 -0.002 0.005
-0.009 2.903 0.006
-0.816 -0.851 6.633
Ga H
1 3
Direct
0.311 0.890 0.721
0.089 0.221 0.196
0.361 0.436 0.881
0.979 0.123 0.281
```

Calculated values
The raw total energy comes out at -12.4 eV for the cell shown.

=====

Record 2
# Cs14CdAg

A relaxed structure of Cs14CdAg (PBE-GGA, the Alexandria database).

```
Cs14CdAg
1.0
-5.712 8.619 -1.980
1.550 -3.639 -9.756
-12.037 -7.752 0.979
Cs Cd Ag
14 1 1
Direct
0.404 0.162 0.000
0.838 0.596 0.000
0.221 0.779 0.193
0.221 0.779 0.807
0.698 0.934 0.180
0.381 0.619 0.500
0.066 0.302 0.820
0.698 0.934 0.820
0.066 0.302 0.180
0.590 0.410 0.239
0.312 0.101 0.500
0.899 0.688 0.500
0.590 0.410 0.761
0.826 0.174 0.500
0.421 0.579 0.000
0.769 0.231 0.000
```

Calculated values
For the formation energy, the calculation gives 0.035 eV per atom.

=====

Record 3
# AsHW2S

A relaxed structure of AsHW2S (PBE-GGA, the Alexandria database).

```
AsHW2S
1.0
-3.466 -0.680 -2.485
1.127 -3.113 -0.720
-2.139 -1.563 3.411
S W H As
1 2 1 1
Direct
0.500 0.500 0.500
0.500 0.000 0.000
0.000 0.000 0.500
0.000 0.000 0.000
0.000 0.500 0.000
```

Calculated values
The raw total energy comes out at -34.2 eV for the cell shown.

=====

Record 4
# CaPb2

A relaxed structure of CaPb2 (PBE-GGA, the Alexandria database).

```
CaPb2
1.0
0.033 -6.405 -0.838
1.864 -4.822 -3.873
7.324 -2.956 2.877
Pb Ca
4 2
Direct
0.541 0.541 0.204
0.459 0.459 0.796
0.864 0.864 0.537
0.136 0.136 0.463
0.827 0.827 0.146
0.173 0.173 0.854
```

Calculated values
For the formation energy, the calculation gives -0.243 eV per atom.

=====

Record 5
# LaZnGePt6

A relaxed structure of LaZnGePt6 (PBE-GGA, the Alexandria database).

```
LaZnGePt6
1.0
7.167 0.000 0.000
0.000 9.000 0.000
-3.584 -4.500 5.631
Ge La Pt Zn
2 2 12 2
Direct
0.500 0.000 0.000
0.500 0.500 0.000
0.845 0.595 0.689
0.155 0.405 0.311
0.591 0.341 0.181
0.101 0.363 0.748
0.101 0.885 0.748
0.899 0.115 0.252
0.409 0.659 0.819
0.902 0.152 0.803
0.353 0.637 0.252
0.899 0.637 0.252
0.098 0.848 0.197
0.353 0.115 0.252
0.647 0.885 0.748
0.647 0.363 0.748
0.500 0.000 0.500
0.000 0.000 0.500
```

Calculated values
For the formation energy, the calculation gives -0.379 eV per atom.

=====

Record 6
# Pb2W2Se

A relaxed structure of Pb2W2Se (PBE-GGA, the Alexandria database).

```
Pb2W2Se
1.0
-6.006 2.882 -4.086
-3.839 -6.750 0.881
-1.481 1.241 3.052
Pb W Se
4 4 2
Direct
0.177 0.677 0.500
0.323 0.177 0.500
0.823 0.323 0.500
0.677 0.823 0.500
0.888 0.612 0.000
0.612 0.112 0.000
0.112 0.388 0.000
0.388 0.888 0.000
0.500 0.500 0.000
0.000 0.000 0.000
```

Calculated values
The formation energy (no corrections) is 945.2 meV per atom.

=====

Record 7
# As2RuBrO

A relaxed structure of As2RuBrO (PBE-GGA, the Alexandria database).

```
As2RuBrO
1.0
-3.928 1.045 -2.306
-2.418 -0.283 3.989
0.862 5.207 0.892
As Br O Ru
2 1 1 1
Direct
0.000 0.500 0.000
0.500 0.000 0.000
0.000 0.000 0.500
0.500 0.500 0.500
0.000 0.000 0.000
```

Calculated values
The formation energy (no corrections) is 770.2 meV per atom.

=====

Record 8
# Li2AlAu6

A relaxed structure of Li2AlAu6 (PBE-GGA, the Alexandria database).

```
Li2AlAu6
1.0
-0.162 2.851 -0.857
4.969 -1.390 -5.566
-7.442 -0.802 -1.260
Au Li Al
6 2 1
Direct
0.000 0.708 0.708
0.500 0.000 0.623
0.500 0.377 0.377
0.000 0.000 0.293
0.500 0.623 0.000
0.000 0.293 0.000
0.000 0.666 0.333
0.000 0.333 0.666
0.500 0.000 0.000
```

Calculated values
For the formation energy, the calculation gives -0.371 eV per atom.

=====

Record 9
# BaSi2Mo

A relaxed structure of BaSi2Mo (PBE-GGA, the Alexandria database).

```
BaSi2Mo
1.0
2.524 0.114 4.239
-2.059 1.934 4.047
-1.323 -2.936 3.739
Si Mo Ba
2 1 1
Direct
0.250 0.250 0.250
0.750 0.750 0.750
0.000 0.000 0.000
0.500 0.500 0.500
```

Calculated values
The formation energy (no corrections) is 629.2 meV per atom.

=====

Record 10
# LaMgSN2

A relaxed structure of LaMgSN2 (PBE-GGA, the Alexandria database).

```
LaMgSN2
1.0
4.148 0.000 0.000
0.000 4.148 0.000
0.000 0.000 6.070
Mg La N S
1 1 2 1
Direct
0.500 0.500 0.500
0.000 0.000 0.000
0.000 0.500 0.000
0.500 0.000 0.000
0.000 0.000 0.500
```

Calculated values
The formation energy (no corrections) is 343.6 meV per atom.

=====

Record 11
# Nd2ErSn9

A relaxed structure of Nd2ErSn9 (PBE-GGA, the Alexandria database).

```
Nd2ErSn9
1.0
-0.264 -4.654 0.792
0.002 -0.793 -4.661
14.381 -0.793 0.142
Nd Sn Er
2 9 1
Direct
0.000 0.000 0.668
0.000 0.000 0.332
0.000 0.500 0.162
0.000 0.500 0.838
0.500 0.500 0.330
0.500 0.500 0.670
0.500 0.000 0.162
0.500 0.000 0.838
0.500 0.500 0.000
0.000 0.500 0.500
0.500 0.000 0.500
0.000 0.000 0.000
```

Calculated values
For the formation energy, the calculation gives -0.460 eV per atom.

=====

Record 12
# TiCrCuS4

A relaxed structure of TiCrCuS4 (PBE-GGA, the Alexandria database).

```
TiCrCuS4
1.0
3.676 4.727 1.925
0.087 2.664 -6.750
-10.890 5.516 3.952
Cr S Cu Ti
4 16 4 4
Direct
0.628 0.440 0.278
0.631 0.955 0.287
0.369 0.045 0.713
0.372 0.560 0.722
0.315 0.969 0.363
0.394 0.602 0.897
0.692 0.543 0.655
0.806 0.709 0.348
0.685 0.031 0.637
0.092 0.147 0.107
0.894 0.350 0.899
0.606 0.398 0.103
0.908 0.853 0.893
0.106 0.650 0.101
0.409 0.092 0.893
0.591 0.908 0.107
0.796 0.223 0.356
0.204 0.777 0.644
0.308 0.457 0.345
0.194 0.291 0.652
0.882 0.812 0.711
0.744 0.637 0.995
0.256 0.363 0.005
0.118 0.188 0.289
0.762 0.107 0.999
0.142 0.704 0.282
0.238 0.893 0.001
0.858 0.296 0.718
```

Calculated values
The formation energy (no corrections) is -677.8 meV per atom.